The following is a DFT calculation (GGA-PBE) of a relaxed structure of Ca3Ac6La.

Properties
- D(E_F) (states/eV/f.u.) = 20.26
- calculated density (g cm⁻³) = 4.755
- energy relative to the elements (eV per atom) = 0.609

Cell: 21.8012 21.8012 4.1258 Å, 90.00 90.00 120.00°
Closest atoms and distances in Å follow each position.
Space group R3m (No. 160, hexagonal axes)
Asymmetric unit:
Ca: 0.1482 0.0741 0.0000 (multiplicity 9)  2 La 3.46-3.49, 4 Ac 3.57-3.88
Ac: 0.0938 0.1876 0.5500 (multiplicity 9)  1 La 3.55, 2 Ac 3.66-3.89, 4 Ca 3.73-3.95
Ac: 0.1774 0.3549 0.0991 (multiplicity 9)  2 Ca 3.57-3.88, 2 Ac 3.66-3.89
La: 0.0000 0.0000 0.4936 (multiplicity 3)  6 Ca 3.46-3.49, 3 Ac 3.55